# 1
PBE Li2LaPdN, relaxed; crystal system = tetragonal; uncorrected energy = -5.03 eV per atom; energy relative to the elements, uncorrected = -0.57 eV per atom
1.0
4.233 0.000 0.000
0.000 4.233 0.000
0.000 0.000 4.878
Li La Pd N
2 1 1 1
Direct
0.000 0.500 0.000 Li
0.500 0.000 0.000 Li
0.000 0.000 0.500 La
0.500 0.500 0.500 Pd
0.000 0.000 0.000 N

---

# 2
PBE LiLa2PtN, relaxed; crystal system = tetragonal; uncorrected energy = -6.19 eV per atom; energy relative to the elements, uncorrected = -0.96 eV per atom
1.0
5.064 0.000 0.000
0.000 5.064 0.000
0.000 0.000 3.987
Li La Pt N
1 2 1 1
Direct
0.000 0.000 0.000 Li
0.000 0.500 0.500 La
0.500 0.000 0.500 La
0.500 0.500 0.000 Pt
0.000 0.000 0.500 N

---

# 3
PBE LiLaPu2N4, relaxed; crystal system = orthorhombic; uncorrected energy = -9.78 eV per atom; energy relative to the elements, uncorrected = -1.18 eV per atom
1.0
1.755 -5.675 0.000
1.755 5.675 0.000
0.000 0.000 11.269
Li La Pu N
2 2 4 8
Direct
0.164 0.836 0.750 Li
0.836 0.164 0.250 Li
0.104 0.896 0.250 La
0.896 0.104 0.750 La
0.369 0.631 0.058 Pu
0.369 0.631 0.442 Pu
0.631 0.369 0.558 Pu
0.631 0.369 0.942 Pu
0.000 0.000 0.000 N
0.000 0.000 0.500 N
0.264 0.736 0.608 N
0.264 0.736 0.892 N
0.439 0.561 0.250 N
0.561 0.439 0.750 N
0.736 0.264 0.108 N
0.736 0.264 0.392 N